[1]
# Dy3Al7Cu4, relaxed, DFT PBE
# - calculated total energy (eV per atom) = -4.478
# - Fermi-level density of states (states/eV/f.u.) = 4.85
# - formation energy from the elements (meV per atom) = -450
# - calculated volume (Å³ per cell) = 495.3
data_Dy3Al7Cu4
_chemical_formula_sum 'Dy6 Al14 Cu8'
_space_group_name_H-M_alt 'C 1 2/m 1'
_space_group_IT_number 12
_cell_length_a 15.514
_cell_length_b 4.180
_cell_length_c 9.490
_cell_angle_alpha 90.00
_cell_angle_beta 126.40
_cell_angle_gamma 90.00
loop_
_space_group_symop_operation_xyz
'x,y,z'
'-x,-y,-z'
'-x,y,-z'
'x,-y,z'
'x+1/2,y+1/2,z'
'-x+1/2,-y+1/2,-z'
'-x+1/2,y+1/2,-z'
'x+1/2,-y+1/2,z'
loop_
_atom_site_label
_atom_site_type_symbol
_atom_site_fract_x
_atom_site_fract_y
_atom_site_fract_z
Dy1 Dy 0.000 0.000 0.000
Dy2 Dy 0.190 0.500 0.693
Al1 Al 0.000 0.000 0.500
Al2 Al 0.005 0.500 0.291
Al3 Al 0.156 0.000 0.421
Al4 Al 0.176 0.500 0.026
Cu1 Cu 0.124 0.000 0.844
Cu2 Cu 0.159 0.500 0.276

[2]
# LaSb2IF, relaxed, DFT PBE
# - offset from the most stable computed form (meV/atom) = 0
# - ΔE_f (raw) (meV/atom) = -900
# - calculated total energy (eV per atom) = -4.219
# - Fermi-level density of states (states/eV/f.u.) = 1.20
# - calculated volume (Å³ per cell) = 135.7
data_LaSb2IF
_chemical_formula_sum 'La1 Sb2 I1 F1'
_space_group_name_H-M_alt 'P 4/m m m'
_space_group_IT_number 123
_space_group_name_Hall '-P 4 2'
_cell_length_a 4.749
_cell_length_b 4.749
_cell_length_c 6.014
_cell_angle_alpha 90.00
_cell_angle_beta 90.00
_cell_angle_gamma 90.00
loop_
_atom_site_label
_atom_site_type_symbol
_atom_site_fract_x
_atom_site_fract_y
_atom_site_fract_z
La1 La 0.000 0.000 0.000
Sb1 Sb 0.000 0.500 0.500
I1 I 0.500 0.500 0.000
F1 F 0.500 0.500 0.500

[3]
# Ga2Ag2Sb, relaxed, DFT PBE
# - offset from the most stable computed form (meV/atom) = 19
# - ΔE_f (raw) (meV/atom) = 92
# - calculated total energy (eV per atom) = -3.084
# - Fermi-level density of states (states/eV/f.u.) = 2.02
# - calculated volume (Å³ per cell) = 206.7
data_Ga2Ag2Sb
_chemical_formula_sum 'Ga4 Ag4 Sb2'
_space_group_name_H-M_alt 'I 4/m m m'
_space_group_IT_number 139
_space_group_name_Hall '-I 4 2'
_cell_length_a 3.947
_cell_length_b 3.947
_cell_length_c 13.264
_cell_angle_alpha 90.00
_cell_angle_beta 90.00
_cell_angle_gamma 90.00
loop_
_atom_site_label
_atom_site_type_symbol
_atom_site_fract_x
_atom_site_fract_y
_atom_site_fract_z
Ga1 Ga 0.000 0.500 0.250
Ag1 Ag 0.000 0.000 0.105
Sb1 Sb 0.000 0.000 0.500

[4]
# LiHfBePt, relaxed, DFT PBE
# - calculated total energy (eV per atom) = -5.900
# - Fermi-level density of states (states/eV/f.u.) = 4.41
# - formation energy from the elements (meV per atom) = -491
# - calculated volume (Å³ per cell) = 234.8
data_LiHfBePt
_chemical_formula_sum 'Li4 Hf4 Be4 Pt4'
_space_group_name_H-M_alt 'F -4 3 m'
_space_group_IT_number 216
_space_group_name_Hall 'F -4 2 3'
_cell_length_a 6.169
_cell_length_b 6.169
_cell_length_c 6.169
_cell_angle_alpha 90.00
_cell_angle_beta 90.00
_cell_angle_gamma 90.00
loop_
_atom_site_label
_atom_site_type_symbol
_atom_site_fract_x
_atom_site_fract_y
_atom_site_fract_z
Li1 Li 0.000 0.000 0.000
Hf1 Hf 0.250 0.250 0.250
Be1 Be 0.250 0.250 0.750
Pt1 Pt 0.000 0.000 0.500

[5]
# BeAs2BrO, relaxed, DFT PBE
# - offset from the most stable computed form (meV/atom) = 0
# - ΔE_f (raw) (meV/atom) = 766
# - calculated total energy (eV per atom) = -3.166
# - Fermi-level density of states (states/eV/f.u.) = 2.63
# - calculated volume (Å³ per cell) = 90.6
data_BeAs2BrO
_chemical_formula_sum 'Be1 As2 Br1 O1'
_space_group_name_H-M_alt 'P 4/m m m'
_space_group_IT_number 123
_space_group_name_Hall '-P 4 2'
_cell_length_a 4.507
_cell_length_b 4.507
_cell_length_c 4.458
_cell_angle_alpha 90.00
_cell_angle_beta 90.00
_cell_angle_gamma 90.00
loop_
_atom_site_label
_atom_site_type_symbol
_atom_site_fract_x
_atom_site_fract_y
_atom_site_fract_z
Be1 Be 0.000 0.000 0.000
As1 As 0.000 0.500 0.000
Br1 Br 0.000 0.000 0.500
O1 O 0.500 0.500 0.500

[6]
# Sr3Li2Cd4, relaxed, DFT PBE
# - calculated total energy (eV per atom) = -1.645
# - Fermi-level density of states (states/eV/f.u.) = 6.85
# - formation energy from the elements (meV per atom) = -252
# - calculated volume (Å³ per cell) = 545.1
data_Sr3Li2Cd4
_chemical_formula_sum 'Sr6 Li4 Cd8'
_space_group_name_H-M_alt 'C 1 2/m 1'
_space_group_IT_number 12
_cell_length_a 11.793
_cell_length_b 5.111
_cell_length_c 9.610
_cell_angle_alpha 90.00
_cell_angle_beta 109.77
_cell_angle_gamma 90.00
loop_
_space_group_symop_operation_xyz
'x,y,z'
'-x,-y,-z'
'-x,y,-z'
'x,-y,z'
'x+1/2,y+1/2,z'
'-x+1/2,-y+1/2,-z'
'-x+1/2,y+1/2,-z'
'x+1/2,-y+1/2,z'
loop_
_atom_site_label
_atom_site_type_symbol
_atom_site_fract_x
_atom_site_fract_y
_atom_site_fract_z
Sr1 Sr 0.000 0.000 0.000
Sr2 Sr 0.138 0.500 0.693
Li1 Li 0.171 0.500 0.339
Cd1 Cd 0.090 0.000 0.415
Cd2 Cd 0.224 0.500 0.070

[7]
# CsNaMgPb, relaxed, DFT PBE
# - calculated total energy (eV per atom) = -1.836
# - Fermi-level density of states (states/eV/f.u.) = 0.97
# - formation energy from the elements (meV per atom) = 33
# - calculated volume (Å³ per cell) = 541.7
data_CsNaMgPb
_chemical_formula_sum 'Cs4 Na4 Mg4 Pb4'
_space_group_name_H-M_alt 'F -4 3 m'
_space_group_IT_number 216
_space_group_name_Hall 'F -4 2 3'
_cell_length_a 8.152
_cell_length_b 8.152
_cell_length_c 8.152
_cell_angle_alpha 90.00
_cell_angle_beta 90.00
_cell_angle_gamma 90.00
loop_
_atom_site_label
_atom_site_type_symbol
_atom_site_fract_x
_atom_site_fract_y
_atom_site_fract_z
Cs1 Cs 0.000 0.000 0.000
Na1 Na 0.250 0.250 0.750
Mg1 Mg 0.250 0.250 0.250
Pb1 Pb 0.000 0.000 0.500

[8]
# Pm6Pr2NdHo, relaxed, DFT PBE
# - calculated total energy (eV per atom) = -4.628
# - Fermi-level density of states (states/eV/f.u.) = 14.76
# - formation energy from the elements (meV per atom) = 113
# - calculated volume (Å³ per cell) = 1391.7
data_Pm6Pr2NdHo
_chemical_formula_sum 'Pm24 Pr8 Nd4 Ho4'
_space_group_name_H-M_alt 'C 1 2/c 1'
_space_group_IT_number 15
_cell_length_a 9.240
_cell_length_b 15.354
_cell_length_c 9.923
_cell_angle_alpha 90.00
_cell_angle_beta 98.67
_cell_angle_gamma 90.00
loop_
_space_group_symop_operation_xyz
'x,y,z'
'-x,-y,-z'
'-x,y,-z+1/2'
'x,-y,z+1/2'
'x+1/2,y+1/2,z'
'-x+1/2,-y+1/2,-z'
'-x+1/2,y+1/2,-z+1/2'
'x+1/2,-y+1/2,z+1/2'
loop_
_atom_site_label
_atom_site_type_symbol
_atom_site_fract_x
_atom_site_fract_y
_atom_site_fract_z
Pm1 Pm 0.067 0.188 0.444
Pm2 Pm 0.100 0.395 0.620
Pm3 Pm 0.205 0.222 0.812
Pr1 Pr 0.246 0.050 0.042
Nd1 Nd 0.000 0.018 0.750
Ho1 Ho 0.000 0.408 0.250

[9]
# La6TlCd, relaxed, DFT PBE
# - offset from the most stable computed form (meV/atom) = 52
# - calculated total energy (eV per atom) = -4.237
# - Fermi-level density of states (states/eV/f.u.) = 11.54
# - formation energy from the elements (meV per atom) = -131
# - calculated volume (Å³ per cell) = 269.8
data_La6TlCd
_chemical_formula_sum 'La6 Tl1 Cd1'
_space_group_name_H-M_alt 'P -1'
_space_group_IT_number 2
_cell_length_a 6.457
_cell_length_b 6.468
_cell_length_c 6.472
_cell_angle_alpha 91.76
_cell_angle_beta 91.81
_cell_angle_gamma 91.93
loop_
_space_group_symop_operation_xyz
'x,y,z'
'-x,-y,-z'
loop_
_atom_site_label
_atom_site_type_symbol
_atom_site_fract_x
_atom_site_fract_y
_atom_site_fract_z
La1 La 0.021 0.038 0.246
La2 La 0.253 0.477 0.963
La3 La 0.465 0.752 0.475
Tl1 Tl 0.500 0.000 0.000
Cd1 Cd 0.000 0.500 0.500

[10]
# Pu2AgPt, relaxed, DFT PBE
# - calculated total energy (eV per atom) = -9.721
# - Fermi-level density of states (states/eV/f.u.) = 15.73
# - formation energy from the elements (meV per atom) = -332
# - calculated volume (Å³ per cell) = 91.1
data_Pu2AgPt
_chemical_formula_sum 'Pu2 Ag1 Pt1'
_space_group_name_H-M_alt 'P 4/m m m'
_space_group_IT_number 123
_space_group_name_Hall '-P 4 2'
_cell_length_a 3.769
_cell_length_b 3.769
_cell_length_c 6.413
_cell_angle_alpha 90.00
_cell_angle_beta 90.00
_cell_angle_gamma 90.00
loop_
_atom_site_label
_atom_site_type_symbol
_atom_site_fract_x
_atom_site_fract_y
_atom_site_fract_z
Pu1 Pu 0.000 0.000 0.231
Ag1 Ag 0.500 0.500 0.500
Pt1 Pt 0.500 0.500 0.000

[11]
# Pd3Pb, relaxed, DFT PBE
# - calculated total energy (eV per atom) = -5.111
# - Fermi-level density of states (states/eV/f.u.) = 1.10
# - formation energy from the elements (meV per atom) = -289
# - calculated volume (Å³ per cell) = 69.5
data_Pd3Pb
_chemical_formula_sum 'Pd3 Pb1'
_space_group_name_H-M_alt 'P m -3 m'
_space_group_IT_number 221
_space_group_name_Hall '-P 4 2 3'
_cell_length_a 4.112
_cell_length_b 4.112
_cell_length_c 4.112
_cell_angle_alpha 90.00
_cell_angle_beta 90.00
_cell_angle_gamma 90.00
loop_
_atom_site_label
_atom_site_type_symbol
_atom_site_fract_x
_atom_site_fract_y
_atom_site_fract_z
Pd1 Pd 0.000 0.000 0.500
Pb1 Pb 0.500 0.500 0.500

[12]
# Na3Pa2AuS6, relaxed, DFT PBE
# - ΔE_f (raw) (meV/atom) = -1228
# - calculated total energy (eV per atom) = -5.477
# - Fermi-level density of states (states/eV/f.u.) = 9.31
# - calculated volume (Å³ per cell) = 542.1
data_Na3Pa2AuS6
_chemical_formula_sum 'Na6 Pa4 Au2 S12'
_space_group_name_H-M_alt 'C 1 2/m 1'
_space_group_IT_number 12
_cell_length_a 17.876
_cell_length_b 3.982
_cell_length_c 8.030
_cell_angle_alpha 90.00
_cell_angle_beta 108.47
_cell_angle_gamma 90.00
loop_
_space_group_symop_operation_xyz
'x,y,z'
'-x,-y,-z'
'-x,y,-z'
'x,-y,z'
'x+1/2,y+1/2,z'
'-x+1/2,-y+1/2,-z'
'-x+1/2,y+1/2,-z'
'x+1/2,-y+1/2,z'
loop_
_atom_site_label
_atom_site_type_symbol
_atom_site_fract_x
_atom_site_fract_y
_atom_site_fract_z
Na1 Na 0.000 0.000 0.000
Na2 Na 0.160 0.500 0.319
Pa1 Pa 0.157 0.500 0.804
Au1 Au 0.000 0.000 0.500
S1 S 0.005 0.500 0.740
S2 S 0.173 0.000 0.589
S3 S 0.176 0.000 0.057

- calculated total energy of number 5 (BeAs2BrO)?
  -3.166 eV per atom

- Fermi-level density of states of number 4 (LiHfBePt)?
  4.41 states/eV/f.u.

- calculated total energy of number 10 (Pu2AgPt)?
  -9.721 eV per atom